VASP calculation (GGA-PBE) on a relaxed structure of NaCa2Cu.

CIF file:
```
data_NaCa2Cu
_chemical_formula_sum 'Na4 Ca8 Cu4'
_symmetry_space_group_name_H-M 'I -4 2 d'
_symmetry_Int_Tables_number 122
_symmetry_space_group_name_Hall 'I -4 2bw'
_cell_length_a 8.6681
_cell_length_b 8.6681
_cell_length_c 7.0960
_cell_angle_alpha 90.00
_cell_angle_beta 90.00
_cell_angle_gamma 90.00
loop_
_atom_site_label
_atom_site_fract_x
_atom_site_fract_y
_atom_site_fract_z
Na1 0.0000 0.0000 0.0000
Ca1 0.1825 0.2500 0.6250
Cu1 0.0000 0.0000 0.5000
```

Computed properties:
Offset from the most stable computed form, meV/atom: 243.3
Magnetization, μB/f.u.: 0.000
Raw total energy, eV per cell: -34.665
Energy of formation from the pure elements, eV/atom: 0.188



VASP calculation (GGA-PBE) on a relaxed structure of NaNdTlCu.

CIF file:
```
data_NaNdTlCu
_chemical_formula_sum 'Na4 Nd4 Tl4 Cu4'
_symmetry_space_group_name_H-M 'F -4 3 m'
_symmetry_Int_Tables_number 216
_symmetry_space_group_name_Hall 'F -4 2 3'
_cell_length_a 7.3509
_cell_length_b 7.3509
_cell_length_c 7.3509
_cell_angle_alpha 90.00
_cell_angle_beta 90.00
_cell_angle_gamma 90.00
loop_
_atom_site_label
_atom_site_fract_x
_atom_site_fract_y
_atom_site_fract_z
Na1 0.0000 0.0000 0.0000
Nd1 0.0000 0.0000 0.5000
Tl1 0.2500 0.2500 0.7500
Cu1 0.2500 0.2500 0.2500
```

Computed properties:
Magnetization, μB/f.u.: 0.000
Raw total energy, eV per cell: -50.857
Energy of formation from the pure elements, eV/atom: -0.041



VASP calculation (GGA-PBE) on a relaxed structure of Pm3CoTeCl.

CIF file:
```
data_Pm3CoTeCl
_chemical_formula_sum 'Pm6 Co2 Te2 Cl2'
_symmetry_space_group_name_H-M 'P 1 21/m 1'
_symmetry_Int_Tables_number 11
_symmetry_space_group_name_Hall '-P 2yb'
_cell_length_a 8.0353
_cell_length_b 3.9865
_cell_length_c 10.8835
_cell_angle_alpha 90.00
_cell_angle_beta 110.06
_cell_angle_gamma 90.00
loop_
_atom_site_label
_atom_site_fract_x
_atom_site_fract_y
_atom_site_fract_z
Pm1 0.0275 0.2500 0.2816
Pm2 0.2316 0.2500 0.0291
Pm3 0.3369 0.7500 0.5790
Co1 0.0488 0.2500 0.5395
Te1 0.3417 0.7500 0.2766
Cl1 0.3505 0.7500 0.8768
```

Computed properties:
Formation energy from raw total energies, eV/atom: -0.93
Magnetization, μB/f.u.: 0.951
Raw total energy, eV per cell: -63.796



VASP calculation (GGA-PBE) on a relaxed structure of Ce5ErP6.

CIF file:
```
data_Ce5ErP6
_chemical_formula_sum 'Ce10 Er2 P12'
_symmetry_space_group_name_H-M 'C 1 2/m 1'
_symmetry_Int_Tables_number 12
_symmetry_space_group_name_Hall '-C 2y'
_cell_length_a 7.0503
_cell_length_b 12.2125
_cell_length_c 7.0492
_cell_angle_alpha 90.00
_cell_angle_beta 109.48
_cell_angle_gamma 90.00
loop_
_atom_site_label
_atom_site_fract_x
_atom_site_fract_y
_atom_site_fract_z
Ce1 0.0000 0.0000 0.0000
Ce2 0.0000 0.1665 0.5000
Ce3 0.0000 0.3328 0.0000
Er1 0.0000 0.5000 0.5000
P1 0.2474 0.3349 0.7472
P2 0.2472 0.5000 0.2515
```

Computed properties:
Magnetization, μB/f.u.: 2.938
Raw total energy, eV per cell: -169.671
Energy of formation from the pure elements, eV/atom: -1.512



VASP calculation (GGA-PBE) on a relaxed structure of K2HfPtO6.

CIF file:
```
data_K2HfPtO6
_chemical_formula_sum 'K8 Hf4 Pt4 O24'
_symmetry_space_group_name_H-M 'F m -3 m'
_symmetry_Int_Tables_number 225
_symmetry_space_group_name_Hall '-F 4 2 3'
_cell_length_a 8.0894
_cell_length_b 8.0894
_cell_length_c 8.0894
_cell_angle_alpha 90.00
_cell_angle_beta 90.00
_cell_angle_gamma 90.00
loop_
_atom_site_label
_atom_site_fract_x
_atom_site_fract_y
_atom_site_fract_z
K1 0.2500 0.2500 0.2500
Hf1 0.0000 0.0000 0.0000
Pt1 0.0000 0.0000 0.5000
O1 0.0000 0.0000 0.2557
```

Computed properties:
Formation energy from raw total energies, eV/atom: -1.68
Magnetization, μB/f.u.: 0.003
Raw total energy, eV per cell: -258.952



VASP calculation (GGA-PBE) on a relaxed structure of YAsPbBr2.

CIF file:
```
data_YAsPbBr2
_chemical_formula_sum 'Y1 As1 Pb1 Br2'
_symmetry_space_group_name_H-M 'P 4/m m m'
_symmetry_Int_Tables_number 123
_symmetry_space_group_name_Hall '-P 4 2'
_cell_length_a 5.5427
_cell_length_b 5.5427
_cell_length_c 5.7012
_cell_angle_alpha 90.00
_cell_angle_beta 90.00
_cell_angle_gamma 90.00
loop_
_atom_site_label
_atom_site_fract_x
_atom_site_fract_y
_atom_site_fract_z
Y1 0.0000 0.0000 0.0000
As1 0.5000 0.5000 0.0000
Pb1 0.5000 0.5000 0.5000
Br1 0.0000 0.5000 0.5000
```

Computed properties:
Offset from the most stable computed form, meV/atom: 640.6
Formation energy from raw total energies, eV/atom: -0.04
Magnetization, μB/f.u.: 0.327
Raw total energy, eV per cell: -18.365



VASP calculation (GGA-PBE) on a relaxed structure of TcNiBr2.

CIF file:
```
data_TcNiBr2
_chemical_formula_sum 'Tc2 Ni2 Br4'
_symmetry_space_group_name_H-M 'C m m m'
_symmetry_Int_Tables_number 65
_symmetry_space_group_name_Hall '-C 2 2'
_cell_length_a 3.2864
_cell_length_b 6.3195
_cell_length_c 8.0326
_cell_angle_alpha 90.00
_cell_angle_beta 90.00
_cell_angle_gamma 90.00
loop_
_atom_site_label
_atom_site_fract_x
_atom_site_fract_y
_atom_site_fract_z
Tc1 0.0000 0.0000 0.0000
Ni1 0.0000 0.0000 0.5000
Br1 0.0000 0.5000 0.2724
```

Computed properties:
Offset from the most stable computed form, meV/atom: 597.8
Formation energy from raw total energies, eV/atom: 0.76
Magnetization, μB/f.u.: 2.755
Raw total energy, eV per cell: -32.897



VASP calculation (GGA-PBE) on a relaxed structure of Zr2SnPC.

CIF file:
```
data_Zr2SnPC
_chemical_formula_sum 'Zr2 Sn1 P1 C1'
_symmetry_space_group_name_H-M 'P 4/m m m'
_symmetry_Int_Tables_number 123
_symmetry_space_group_name_Hall '-P 4 2'
_cell_length_a 4.6557
_cell_length_b 4.6557
_cell_length_c 4.2697
_cell_angle_alpha 90.00
_cell_angle_beta 90.00
_cell_angle_gamma 90.00
loop_
_atom_site_label
_atom_site_fract_x
_atom_site_fract_y
_atom_site_fract_z
Zr1 0.0000 0.5000 0.0000
Sn1 0.0000 0.0000 0.5000
P1 0.5000 0.5000 0.5000
C1 0.0000 0.0000 0.0000
```

Computed properties:
Magnetization, μB/f.u.: 0.000
Raw total energy, eV per cell: -35.174
Energy of formation from the pure elements, eV/atom: 0.112